A plane-wave DFT calculation with PBE was carried out for a geometry-optimized MnCoRh2 structure.

As for the final energy: -7.693 eV/atom. The calculation puts the size of the total moment at 6.01 μB/f.u. The value obtained for the formation energy is 0.205 eV per formula unit.

The space group is Imm2 (No. 44) and the conventional cell measures 2.903, 4.273 and 8.575 Å, with angles of 90.00, 90.00 and 90.00 degrees. The asymmetric unit holds Mn at (0.000, 0.000, 0.000), Co at (0.000, 0.500, 0.271), Rh at (0.000, 0.000, 0.516) and Rh at (0.000, 0.500, 0.745).

---

A plane-wave DFT calculation with PBE was carried out for a geometry-optimized MnCoRh2 structure.

As for the final energy: -7.402 eV/atom. The calculation puts the size of the total moment at 0.01 μB/f.u. The value obtained for the formation energy is 1.369 eV per formula unit.

The space group is Fm-3m (No. 225) and the conventional cell measures 5.874, 5.874 and 5.874 Å, with angles of 90.00, 90.00 and 90.00 degrees. The asymmetric unit holds Mn at (0.000, 0.000, 0.000), Co at (0.000, 0.000, 0.500) and Rh at (0.250, 0.250, 0.250).

---

A plane-wave DFT calculation with PBE was carried out for a geometry-optimized MnCoRh3 structure.

As for the final energy: -6.162 eV/atom. The calculation puts the size of the total moment at 0.13 μB/f.u. The value obtained for the formation energy is 7.520 eV per formula unit. The distance to the lowest polymorph of the same formula is 0.310 eV/atom.

The space group is Pm-3m (No. 221) and the conventional cell measures 4.384, 4.384 and 4.384 Å, with angles of 90.00, 90.00 and 90.00 degrees. The asymmetric unit holds Mn at (0.000, 0.000, 0.000), Co at (0.500, 0.500, 0.500) and Rh at (0.000, 0.500, 0.500).

---

A plane-wave DFT calculation with PBE was carried out for a geometry-optimized Mn2CoRh structure.

As for the final energy: -8.141 eV/atom. The calculation puts the size of the total moment at 2.58 μB/f.u. The value obtained for the formation energy is 0.233 eV per formula unit. The distance to the lowest polymorph of the same formula is 0.131 eV/atom.

The space group is Cmmm (No. 65) and the conventional cell measures 5.101, 7.214 and 2.583 Å, with angles of 90.00, 90.00 and 90.00 degrees. The asymmetric unit holds Mn at (0.250, 0.250, 0.000), Co at (0.000, 0.000, 0.500) and Rh at (0.000, 0.500, 0.500).